DFT (PBE-GGA) results for crystalline AcHoZnIr at its relaxed geometry.

```
4
Lattice="0.000 3.643 3.643 3.643 0.000 3.643 3.643 3.643 0.000" Properties=species:S:1:pos:R:3 pbc="T T T"
Ac 0.000 0.000 0.000
Ho 3.643 3.643 3.643
Zn 5.464 5.464 5.464
Ir 1.821 1.821 1.821
```

Computed properties:
Energy of formation: -433 meV per atom
VASP energy: -5.138 eV/atom